Tb3Dy6Mg: relaxed, GGA-PBE.

## Properties
Uncorrected energy   -4.183 eV/atom
Offset from the most stable computed form   108 meV/atom
D(E_F)   23.99 states/eV/cell
Energy of formation from the pure elements   1.3 eV/f.u.
Symmetry   Cmc2_1, No. 36

Geometry as extended XYZ:
```
20
Lattice="9.024 0.000 0.000 0.000 8.688 -0.936 0.000 -2.851 8.260" Properties=species:S:1:pos:R:3 pbc="T T T"
Tb 3.962 6.470 4.711
Tb 8.474 3.148 7.358
Tb 3.840 3.322 3.341
Tb 8.352 2.515 3.983
Tb 8.474 -0.634 2.613
Tb 3.962 2.689 -0.034
Dy 0.912 5.383 5.091
Dy 5.425 3.761 6.383
Dy 2.418 2.175 6.364
Dy 6.930 5.718 3.540
Dy 2.570 7.956 -0.353
Dy 5.890 0.565 5.537
Dy 1.378 5.271 1.787
Dy 7.082 -2.119 7.677
Dy 2.418 0.119 3.784
Dy 6.930 3.662 0.960
Dy 0.912 2.076 0.941
Dy 5.425 0.454 2.233
Mg 0.056 -0.094 6.063
Mg 4.568 5.931 1.261
```